1.
A plane-wave DFT calculation with PBE was carried out for YMnHg2 after structural relaxation.

symmetry: F-43m, No. 216
DFT formation energy: 0.0503 eV per atom
calculated density: 10.32 g cm⁻³

Lattice parameters (Å, degrees): 4.987 4.987 4.987 60.00 60.00 60.00
Each line ends with the local moment (μB).
Element x y z (fractional)
Hg1 0.000 0.000 0.000  0.01
Hg2 0.250 0.250 0.250  0.01
Mn1 0.500 0.500 0.500  3.84
Y1 0.750 0.750 0.750  0.02



2.
A plane-wave DFT calculation with PBE was carried out for YMnHg after structural relaxation.

symmetry: Amm2, No. 38
DFT formation energy: -0.0211 eV per atom
calculated density: 8.81 g cm⁻³

Lattice parameters (Å, degrees): 3.642 4.104 17.371 90.00 90.00 90.00
Each line ends with the local moment (μB).
Element x y z (fractional)
Y1 0.000 0.000 0.921  -0.05
Y2 0.000 0.500 0.421  -0.05
Y3 0.000 0.000 0.713  0.08
Y4 0.000 0.500 0.213  0.08
Mn1 0.500 0.000 0.156  -2.35
Mn2 0.500 0.500 0.656  -2.35
Mn3 0.000 0.000 0.082  2.24
Mn4 0.000 0.500 0.582  2.24
Hg1 0.500 0.000 0.536  -0.01
Hg2 0.500 0.500 0.036  -0.01
Hg3 0.500 0.000 0.321  0.00
Hg4 0.500 0.500 0.821  0.00



3.
A plane-wave DFT calculation with PBE was carried out for YMnHg after structural relaxation.

symmetry: P-3m1, No. 164
DFT formation energy: -0.1632 eV per atom
calculated density: 8.43 g cm⁻³

Lattice parameters (Å, degrees): 3.801 3.801 10.844 90.00 90.00 120.00
Element x y z (fractional)
Y1 0.000 0.000 0.189
Y2 0.000 0.000 0.811
Mn1 0.333 0.667 0.991
Mn2 0.667 0.333 0.009
Hg1 0.333 0.667 0.402
Hg2 0.667 0.333 0.598



4.
A plane-wave DFT calculation with PBE was carried out for Y2MnHg after structural relaxation.

symmetry: Pm, No. 6
DFT formation energy: -0.1226 eV per atom
calculated density: 7.24 g cm⁻³

Lattice parameters (Å, degrees): 4.717 3.658 6.046 72.26 90.00 90.00
Each line ends with the local moment (μB).
Element x y z (fractional)
Hg1 0.000 0.697 0.482  -0.04
Mn1 0.500 0.552 0.771  3.50
Y1 0.000 0.973 0.927  -0.24
Y2 0.500 0.278 0.320  -0.20



5.
A plane-wave DFT calculation with PBE was carried out for Y2MnHg after structural relaxation.

symmetry: I-4m2, No. 119
DFT formation energy: 0.0167 eV per atom
calculated density: 7.49 g cm⁻³

Lattice parameters (Å, degrees): 5.833 5.833 5.833 135.50 135.50 64.75
Each line ends with the local moment (μB).
Element x y z (fractional)
Hg1 0.500 0.500 0.000  -0.06
Mn1 0.750 0.250 0.500  3.54
Y1 0.000 0.000 0.000  -0.36
Y2 0.250 0.750 0.500  -0.38



6.
A plane-wave DFT calculation with PBE was carried out for Y2MnHg after structural relaxation.

symmetry: C2/m, No. 12
DFT formation energy: 0.1152 eV per atom
calculated density: 6.83 g cm⁻³

Lattice parameters (Å, degrees): 5.095 5.095 6.335 78.48 78.48 40.95
Each line ends with the local moment (μB).
Element x y z (fractional)
Hg1 0.250 0.250 0.250  0.00
Mn1 0.750 0.750 0.750  3.79
Y1 0.002 0.002 0.993  -0.12
Y2 0.498 0.498 0.507  -0.12



no.,DOS(E_F) (states/eV/atom),uncorrected energy (eV/atom)
1,0.984,-4.0090
2,0.791,-5.3329
3,0.728,-5.4751
4,1.246,-5.7225
5,1.322,-5.5832
6,1.054,-5.4847